A plane-wave DFT calculation with PBE was carried out for a geometry-optimized KCuRh2 structure.

Properties
ΔH_f (0 K) in eV per atom: 0.750
Electronic total energy in hartree per atom: -0.15524

Cell and atoms, written as CIF:
```
data_KCuRh2
_chemical_formula_sum 'K2 Cu2 Rh4'
_cell_length_a 5.602
_cell_length_b 9.339
_cell_length_c 2.636
_cell_angle_alpha 90.00
_cell_angle_beta 90.00
_cell_angle_gamma 90.00
_space_group_name_H-M_alt 'C m m m'
_space_group_IT_number 65
_space_group_name_Hall '-C 2 2'
loop_
_atom_site_label
_atom_site_type_symbol
_atom_site_fract_x
_atom_site_fract_y
_atom_site_fract_z
K1 K 0.000 0.000 0.000
Cu1 Cu 0.000 0.500 0.000
Rh1 Rh 0.250 0.250 0.500
```